ErTl3Br6 | PBE | relaxed

Lattice parameters (Å, degrees): 7.774 8.577 13.380 90.00 122.30 90.00
Space group P2_1/c (No. 14)
Unique sites:
1 Er 0.000 0.000 0.000 (multiplicity 2)
2 Tl 0.297 0.079 0.767 (multiplicity 4)
3 Tl 0.500 0.000 0.500 (multiplicity 2)
4 Br 0.096 0.060 0.229 (multiplicity 4)
5 Br 0.235 0.728 0.077 (multiplicity 4)
6 Br 0.342 0.167 0.046 (multiplicity 4)

Calculated values
Raw formation energy (kJ/mol of formula units): -1238
VASP energy (eV/atom): -3.453

***

TbUOsRu | PBE | relaxed

Lattice parameters (Å, degrees): 6.809 6.809 6.809 90.00 90.00 90.00
Space group F-43m (No. 216)
Unique sites:
1 Tb 0.000 0.000 0.000 (multiplicity 4)
2 U 0.000 0.000 0.500 (multiplicity 4)
3 Os 0.250 0.250 0.750 (multiplicity 4)
4 Ru 0.250 0.250 0.250 (multiplicity 4)

Calculated values
Energy of formation (eV per atom): -0.12
VASP energy (eV/atom): -9.227
E above lowest polymorph (kJ/mol of formula units): 46

***

KBa4Au5 | PBE | relaxed

Lattice parameters (Å, degrees): 4.057 4.057 20.071 90.00 90.00 90.00
Space group P4/mmm (No. 123)
Unique sites:
1 K 0.000 0.000 0.000 (multiplicity 1)
2 Ba 0.000 0.000 0.200 (multiplicity 2)
3 Ba 0.000 0.000 0.400 (multiplicity 2)
4 Au 0.500 0.500 0.110 (multiplicity 2)
5 Au 0.500 0.500 0.300 (multiplicity 2)
6 Au 0.500 0.500 0.500 (multiplicity 1)

Calculated values
Energy of formation (eV per atom): -0.62
VASP energy (eV/atom): -3.133

***

MgAlGaO4 | PBE | relaxed

Lattice parameters (Å, degrees): 5.790 5.857 8.251 90.00 90.00 90.00
Space group Imma (No. 74)
Unique sites:
1 Mg 0.250 0.250 0.250 (multiplicity 4)
2 Al 0.000 0.000 0.000 (multiplicity 4)
3 Ga 0.000 0.250 0.636 (multiplicity 4)
4 O 0.000 0.008 0.230 (multiplicity 8)
5 O 0.229 0.250 0.999 (multiplicity 8)

Calculated values
Raw formation energy (kJ/mol of formula units): -1726
VASP energy (eV/atom): -6.584

***

Cs6SeI2O | PBE | relaxed

Lattice parameters (Å, degrees): 8.734 12.726 9.637 90.00 90.00 90.00
Space group Pmmn (No. 59, origin choice 2)
Unique sites:
1 Cs 0.009 0.250 0.086 (multiplicity 4)
2 Cs 0.019 0.750 0.480 (multiplicity 4)
3 Cs 0.250 0.520 0.716 (multiplicity 4)
4 Se 0.250 0.250 0.793 (multiplicity 2)
5 I 0.250 0.031 0.313 (multiplicity 4)
6 O 0.250 0.750 0.724 (multiplicity 2)

Calculated values
Raw formation energy (kJ/mol of formula units): -1140
VASP energy (eV/atom): -2.848

***

Tb6HPb3 | PBE | relaxed

Lattice parameters (Å, degrees): 11.846 15.201 6.152 90.00 90.00 90.00
Space group Cmc2_1 (No. 36)
Unique sites:
1 Tb 0.000 0.088 0.000 (multiplicity 4)
2 Tb 0.000 0.292 0.736 (multiplicity 4)
3 Tb 0.177 0.276 0.205 (multiplicity 8)
4 Tb 0.210 0.444 0.606 (multiplicity 8)
5 H 0.000 0.232 0.067 (multiplicity 4)
6 Pb 0.000 0.435 0.267 (multiplicity 4)
7 Pb 0.131 0.107 0.509 (multiplicity 8)

Calculated values
VASP energy (eV/atom): -4.565